Record 1
The following is a DFT calculation (GGA-PBE) of a geometry-optimized NiPBr2 structure.

abc: 4.5640 3.4008 6.7912
angles: 90.00 108.65 90.00
Element x y z (fractional)
Ni1 0.0000 0.0000 0.0000
P1 0.7427 0.5000 0.0485
Br1 0.1711 0.5000 0.7873
Br2 0.4633 0.0000 0.3030

**Offset from the most stable computed form**: 0.2852 eV/atom



Record 2
The following is a DFT calculation (GGA-PBE) of a geometry-optimized NiPBr2 structure.

abc: 3.2892 3.2892 6.8515
angles: 90.00 90.00 90.00
Element x y z (fractional)
Ni1 0.0000 0.0000 0.0000
P1 0.0000 0.0000 0.5000
Br1 0.5000 0.5000 0.2305
Br2 0.5000 0.5000 0.7695

**Offset from the most stable computed form**: 1.1138 eV/atom



Record 3
The following is a DFT calculation (GGA-PBE) of a geometry-optimized NiPBr structure.

abc: 2.7269 3.5533 11.5117
angles: 90.00 90.00 90.00
Element x y z (fractional)
Ni1 0.0000 0.0000 0.0000
Ni2 0.5000 0.5000 0.5000
P1 0.0000 0.0000 0.5398
P2 0.5000 0.5000 0.0398
Br1 0.0000 0.0000 0.7768
Br2 0.5000 0.5000 0.2768

**Offset from the most stable computed form**: 0.0617 eV/atom



Record 4
The following is a DFT calculation (GGA-PBE) of a geometry-optimized NiPBr2 structure.

abc: 3.2614 6.3573 8.4545
angles: 90.00 90.00 90.00
Element x y z (fractional)
Ni1 0.0000 0.0000 0.0000
Ni2 0.5000 0.5000 0.0000
P1 0.0000 0.0000 0.5000
P2 0.5000 0.5000 0.5000
Br1 0.0000 0.5000 0.2015
Br2 0.0000 0.5000 0.7985
Br3 0.5000 0.0000 0.2015
Br4 0.5000 0.0000 0.7985

**Offset from the most stable computed form**: 0.8627 eV/atom



Record 5
The following is a DFT calculation (GGA-PBE) of a geometry-optimized NiP2Br structure.

abc: 3.2117 3.2117 7.1152
angles: 90.00 90.00 90.00
Element x y z (fractional)
Ni1 0.0000 0.0000 0.0000
P1 0.0000 0.0000 0.3116
P2 0.5000 0.5000 0.1998
Br1 0.5000 0.5000 0.7704

**Offset from the most stable computed form**: 0.3583 eV/atom



Record 6
The following is a DFT calculation (GGA-PBE) of a geometry-optimized NiPBr2 structure.

abc: 6.8701 6.8701 7.1093
angles: 90.00 90.00 90.00
Element x y z (fractional)
Ni1 0.0000 0.0000 0.0000
Ni2 0.0000 0.5000 0.2500
Ni3 0.5000 0.0000 0.7500
Ni4 0.5000 0.5000 0.5000
P1 0.0000 0.0000 0.5000
P2 0.0000 0.5000 0.7500
P3 0.5000 0.0000 0.2500
P4 0.5000 0.5000 0.0000
Br1 0.2123 0.2500 0.1250
Br2 0.2500 0.7123 0.3750
Br3 0.2500 0.7877 0.8750
Br4 0.2877 0.2500 0.6250
Br5 0.7123 0.7500 0.6250
Br6 0.7500 0.2123 0.8750
Br7 0.7500 0.2877 0.3750
Br8 0.7877 0.7500 0.1250

**Offset from the most stable computed form**: 0.8770 eV/atom



Record 7
The following is a DFT calculation (GGA-PBE) of a geometry-optimized NiP2Br structure.

abc: 3.2154 8.8630 8.4665
angles: 90.00 90.00 90.00
Element x y z (fractional)
Ni1 0.0000 0.0000 0.0000
Ni2 0.5000 0.5000 0.5000
P1 0.0000 0.0000 0.6492
P2 0.0000 0.5000 0.3153
P3 0.5000 0.0000 0.8153
P4 0.5000 0.5000 0.1492
Br1 0.0000 0.5000 0.7071
Br2 0.5000 0.0000 0.2071

**Offset from the most stable computed form**: 0.3582 eV/atom



Record 8
The following is a DFT calculation (GGA-PBE) of a geometry-optimized NiPBr2 structure.

abc: 6.1905 3.5743 8.4395
angles: 90.00 99.93 90.00
Element x y z (fractional)
Ni1 0.0000 0.0000 0.0000
Ni2 0.5000 0.5000 0.0000
P1 0.1936 0.5000 0.1143
P2 0.6936 0.0000 0.1143
Br1 0.2556 0.5000 0.3798
Br2 0.2884 0.0000 0.8076
Br3 0.7556 0.0000 0.3798
Br4 0.7884 0.5000 0.8076

**Offset from the most stable computed form**: 0.0000 eV/atom



Record 9
The following is a DFT calculation (GGA-PBE) of a geometry-optimized NiPBr2 structure.

abc: 6.6663 6.6663 6.6663
angles: 90.00 90.00 90.00
Element x y z (fractional)
Ni1 0.0000 0.0000 0.0000
Ni2 0.0000 0.5000 0.5000
Ni3 0.5000 0.0000 0.5000
Ni4 0.5000 0.5000 0.0000
P1 0.0000 0.0000 0.5000
P2 0.0000 0.5000 0.0000
P3 0.5000 0.0000 0.0000
P4 0.5000 0.5000 0.5000
Br1 0.2500 0.2500 0.2500
Br2 0.2500 0.2500 0.7500
Br3 0.2500 0.7500 0.2500
Br4 0.2500 0.7500 0.7500
Br5 0.7500 0.2500 0.2500
Br6 0.7500 0.2500 0.7500
Br7 0.7500 0.7500 0.2500
Br8 0.7500 0.7500 0.7500

**Offset from the most stable computed form**: 1.1450 eV/atom



Record 10
The following is a DFT calculation (GGA-PBE) of a geometry-optimized NiPBr structure.

abc: 6.1382 6.1382 6.1382
angles: 90.00 90.00 90.00
Element x y z (fractional)
Ni1 0.0000 0.0000 0.0000
Ni2 0.0000 0.5000 0.5000
Ni3 0.5000 0.0000 0.5000
Ni4 0.5000 0.5000 0.0000
P1 0.2500 0.2500 0.2500
P2 0.2500 0.7500 0.7500
P3 0.7500 0.2500 0.7500
P4 0.7500 0.7500 0.2500
Br1 0.0000 0.0000 0.5000
Br2 0.0000 0.5000 0.0000
Br3 0.5000 0.0000 0.0000
Br4 0.5000 0.5000 0.5000

**Offset from the most stable computed form**: 0.9712 eV/atom



Record 11
The following is a DFT calculation (GGA-PBE) of a geometry-optimized NiPBr structure.

abc: 5.9955 5.9955 5.9955
angles: 90.00 90.00 90.00
Element x y z (fractional)
Ni1 0.0000 0.0000 0.0000
Ni2 0.0000 0.5000 0.5000
Ni3 0.5000 0.0000 0.5000
Ni4 0.5000 0.5000 0.0000
P1 0.2500 0.2500 0.2500
P2 0.2500 0.7500 0.7500
P3 0.7500 0.2500 0.7500
P4 0.7500 0.7500 0.2500
Br1 0.2500 0.2500 0.7500
Br2 0.2500 0.7500 0.2500
Br3 0.7500 0.2500 0.2500
Br4 0.7500 0.7500 0.7500

**Offset from the most stable computed form**: 0.5533 eV/atom



Record 12
The following is a DFT calculation (GGA-PBE) of a geometry-optimized NiPBr2 structure.

abc: 3.1775 3.1775 8.7857
angles: 90.00 90.00 90.00
Element x y z (fractional)
Ni1 0.0000 0.0000 0.0000
P1 0.5000 0.5000 0.9219
Br1 0.0000 0.0000 0.2732
Br2 0.5000 0.5000 0.6710

**Offset from the most stable computed form**: 0.2418 eV/atom



Record 13
The following is a DFT calculation (GGA-PBE) of a geometry-optimized NiPBr2 structure.

abc: 3.4751 3.4751 26.2691
angles: 90.00 90.00 120.00
Element x y z (fractional)
Ni1 0.0000 0.0000 0.0000
Ni2 0.3333 0.6667 0.6667
Ni3 0.6667 0.3333 0.3333
P1 0.0000 0.0000 0.5000
P2 0.3333 0.6667 0.1667
P3 0.6667 0.3333 0.8333
Br1 0.0000 0.0000 0.2768
Br2 0.0000 0.0000 0.7232
Br3 0.3333 0.6667 0.3899
Br4 0.3333 0.6667 0.9435
Br5 0.6667 0.3333 0.0565
Br6 0.6667 0.3333 0.6101

**Offset from the most stable computed form**: 0.7780 eV/atom



Record 14
The following is a DFT calculation (GGA-PBE) of a geometry-optimized NiP2Br structure.

abc: 6.3102 6.3102 6.3102
angles: 90.00 90.00 90.00
Element x y z (fractional)
Ni1 0.0000 0.0000 0.0000
Ni2 0.0000 0.5000 0.5000
Ni3 0.5000 0.0000 0.5000
Ni4 0.5000 0.5000 0.0000
P1 0.0000 0.0000 0.5000
P2 0.0000 0.5000 0.0000
P3 0.2500 0.2500 0.2500
P4 0.2500 0.7500 0.7500
P5 0.5000 0.0000 0.0000
P6 0.5000 0.5000 0.5000
P7 0.7500 0.2500 0.7500
P8 0.7500 0.7500 0.2500
Br1 0.2500 0.2500 0.7500
Br2 0.2500 0.7500 0.2500
Br3 0.7500 0.2500 0.2500
Br4 0.7500 0.7500 0.7500

**Offset from the most stable computed form**: 0.9390 eV/atom



Record 15
The following is a DFT calculation (GGA-PBE) of a geometry-optimized NiP2Br structure.

abc: 3.0042 3.0042 9.1268
angles: 90.00 90.00 90.00
Element x y z (fractional)
Ni1 0.0000 0.0000 0.0000
P1 0.5000 0.5000 0.1248
P2 0.5000 0.5000 0.8752
Br1 0.0000 0.0000 0.5000

**Offset from the most stable computed form**: 0.2624 eV/atom



Record 16
The following is a DFT calculation (GGA-PBE) of a geometry-optimized NiP2Br structure.

abc: 2.4907 6.7138 11.0942
angles: 90.00 90.00 90.00
Element x y z (fractional)
Ni1 0.0000 0.0000 0.0000
Ni2 0.5000 0.5000 0.5000
P1 0.0000 0.5000 0.3334
P2 0.0000 0.5000 0.6666
P3 0.5000 0.0000 0.1666
P4 0.5000 0.0000 0.8334
Br1 0.0000 0.0000 0.5000
Br2 0.5000 0.5000 0.0000

**Offset from the most stable computed form**: 0.5435 eV/atom



Record 17
The following is a DFT calculation (GGA-PBE) of a geometry-optimized NiPBr structure.

abc: 3.4929 6.0178 11.7723
angles: 90.00 90.00 90.00
Element x y z (fractional)
Ni1 0.0000 0.0000 0.0000
Ni2 0.0000 0.5000 0.5000
Ni3 0.5000 0.0000 0.5000
Ni4 0.5000 0.5000 0.0000
P1 0.0000 0.0000 0.3946
P2 0.0000 0.5000 0.8946
P3 0.5000 0.0000 0.8946
P4 0.5000 0.5000 0.3946
Br1 0.0000 0.0000 0.6428
Br2 0.0000 0.5000 0.1428
Br3 0.5000 0.0000 0.1428
Br4 0.5000 0.5000 0.6428

**Offset from the most stable computed form**: 0.2017 eV/atom



Record 18
The following is a DFT calculation (GGA-PBE) of a geometry-optimized NiP2Br structure.

abc: 4.4982 14.2218 2.6428
angles: 90.00 90.00 90.00
Element x y z (fractional)
Ni1 0.0000 0.0000 0.0000
Ni2 0.5000 0.5000 0.0000
P1 0.2500 0.2500 0.5000
P2 0.2500 0.7500 0.5000
P3 0.7500 0.2500 0.5000
P4 0.7500 0.7500 0.5000
Br1 0.0000 0.5000 0.0000
Br2 0.5000 0.0000 0.0000

**Offset from the most stable computed form**: 0.8407 eV/atom



Record 19
The following is a DFT calculation (GGA-PBE) of a geometry-optimized NiPBr2 structure.

abc: 3.3701 7.1012 8.8978
angles: 90.00 90.00 90.00
Element x y z (fractional)
Ni1 0.0000 0.0000 0.0000
Ni2 0.5000 0.5000 0.0000
P1 0.0000 0.5000 0.1486
P2 0.5000 0.0000 0.1486
Br1 0.0000 0.0000 0.3884
Br2 0.0000 0.5000 0.8108
Br3 0.5000 0.0000 0.8108
Br4 0.5000 0.5000 0.3884

**Offset from the most stable computed form**: 0.4171 eV/atom



Record 20
The following is a DFT calculation (GGA-PBE) of a geometry-optimized NiPPbBr2 structure.

abc: 4.6898 4.6898 5.6953
angles: 90.00 90.00 90.00
Element x y z (fractional)
Ni1 0.0000 0.0000 0.0000
P1 0.5000 0.5000 0.5000
Pb1 0.0000 0.0000 0.5000
Br1 0.0000 0.5000 0.0000
Br2 0.5000 0.0000 0.0000



| no. | raw formation energy (eV per formula unit) |
| --- | --- |
| 1 | -0.03 |
| 2 | 3.29 |
| 3 | 0.11 |
| 4 | 2.28 |
| 5 | 1.00 |
| 6 | 2.34 |
| 7 | 1.00 |
| 8 | -1.17 |
| 9 | 3.41 |
| 10 | 2.84 |
| 11 | 1.59 |
| 12 | -0.20 |
| 13 | 1.95 |
| 14 | 3.32 |
| 15 | 0.61 |
| 16 | 1.74 |
| 17 | 0.53 |
| 18 | 2.93 |
| 19 | 0.50 |
| 20 | 1.97 |